Entry 1:
First-principles (GGA-PBE) data for a geometry-optimized PaBe4Rh structure, as listed in Alexandria via LeMat-Bulk.

Results
crystal system = cubic
energy of formation = 13 meV/atom
symmetry = F-43m

Unit cell a=4.7715 b=4.7715 c=4.7715 alpha=60.00 beta=60.00 gamma=60.00
Sites, in units of the cell vectors:
Pa1 0.0000 0.0000 0.0000
Be1 0.3775 0.3775 0.3775
Be2 0.3775 0.3775 0.8676
Be3 0.3775 0.8676 0.3775
Be4 0.8676 0.3775 0.3775
Rh1 0.7500 0.7500 0.7500

Entry 2:
First-principles (GGA-PBE) data for a geometry-optimized PaBeRh3 structure, as listed in Alexandria via LeMat-Bulk.

Results
crystal system = cubic
energy of formation = -735 meV/atom
symmetry = Pm-3m
distance to the lowest polymorph of the same formula = 0 meV/atom

Unit cell a=4.2524 b=4.2524 c=4.2524 alpha=90.00 beta=90.00 gamma=90.00
Sites, in units of the cell vectors:
Pa1 0.0000 0.0000 0.0000
Be1 0.5000 0.5000 0.5000
Rh1 0.0000 0.5000 0.5000
Rh2 0.5000 0.0000 0.5000
Rh3 0.5000 0.5000 0.0000

Entry 3:
First-principles (GGA-PBE) data for a geometry-optimized Pa2Be2Rh5 structure, as listed in Alexandria via LeMat-Bulk.

Results
crystal system = tetragonal
energy of formation = -791 meV/atom
symmetry = P4/mmm

Unit cell a=4.0572 b=4.0572 c=8.4423 alpha=90.00 beta=90.00 gamma=90.00
Sites, in units of the cell vectors:
Pa1 0.0000 0.0000 0.0000
Pa2 0.0000 0.0000 0.5000
Be1 0.5000 0.5000 0.1299
Be2 0.5000 0.5000 0.8701
Rh1 0.0000 0.5000 0.2538
Rh2 0.0000 0.5000 0.7462
Rh3 0.5000 0.0000 0.2538
Rh4 0.5000 0.0000 0.7462
Rh5 0.5000 0.5000 0.5000

Entry 4:
First-principles (GGA-PBE) data for a geometry-optimized Pa4Be6Rh7 structure, as listed in Alexandria via LeMat-Bulk.

Results
crystal system = cubic
energy of formation = -546 meV/atom
symmetry = Im-3m

Unit cell a=7.0049 b=7.0049 c=7.0049 alpha=109.47 beta=109.47 gamma=109.47
Sites, in units of the cell vectors:
Pa1 0.0000 0.0000 0.5000
Pa2 0.0000 0.5000 0.0000
Pa3 0.5000 0.0000 0.0000
Pa4 0.5000 0.5000 0.5000
Be1 0.0000 0.3360 0.3360
Be2 0.0000 0.6640 0.6640
Be3 0.3360 0.0000 0.3360
Be4 0.3360 0.3360 0.0000
Be5 0.6640 0.0000 0.6640
Be6 0.6640 0.6640 0.0000
Rh1 0.0000 0.0000 0.0000
Rh2 0.2500 0.5000 0.7500
Rh3 0.2500 0.7500 0.5000
Rh4 0.5000 0.2500 0.7500
Rh5 0.5000 0.7500 0.2500
Rh6 0.7500 0.2500 0.5000
Rh7 0.7500 0.5000 0.2500

Entry 5:
First-principles (GGA-PBE) data for a geometry-optimized PaBeRh structure, as listed in Alexandria via LeMat-Bulk.

Results
crystal system = hexagonal
energy of formation = -444 meV/atom
symmetry = P-6m2
distance to the lowest polymorph of the same formula = 72 meV/atom

Unit cell a=4.1642 b=4.1642 c=3.4474 alpha=90.00 beta=90.00 gamma=120.00
Sites, in units of the cell vectors:
Pa1 0.0000 0.0000 0.0000
Be1 0.6667 0.3333 0.5000
Rh1 0.3333 0.6667 0.5000

Entry 6:
First-principles (GGA-PBE) data for a geometry-optimized PaBeRh2 structure, as listed in Alexandria via LeMat-Bulk.

Results
crystal system = orthorhombic
energy of formation = -647 meV/atom
symmetry = Cmmm
distance to the lowest polymorph of the same formula = 40 meV/atom

Unit cell a=8.7743 b=8.7743 c=3.8693 alpha=90.00 beta=90.00 gamma=153.78
Sites, in units of the cell vectors:
Pa1 0.1356 0.8644 0.0000
Pa2 0.8644 0.1356 0.0000
Be1 0.4313 0.5687 0.5000
Be2 0.5687 0.4313 0.5000
Rh1 0.0000 0.0000 0.5000
Rh2 0.3020 0.6980 0.5000
Rh3 0.5000 0.5000 0.0000
Rh4 0.6980 0.3020 0.5000

Entry 7:
First-principles (GGA-PBE) data for a geometry-optimized PaBeRuRh structure, as listed in Alexandria via LeMat-Bulk.

Results
crystal system = cubic
energy of formation = -361 meV/atom
symmetry = F-43m

Unit cell a=4.5343 b=4.5343 c=4.5343 alpha=60.00 beta=60.00 gamma=60.00
Sites, in units of the cell vectors:
Pa1 0.0000 0.0000 0.0000
Be1 0.5000 0.5000 0.5000
Ru1 0.2500 0.2500 0.2500
Rh1 0.7500 0.7500 0.7500

Entry 8:
First-principles (GGA-PBE) data for a geometry-optimized PaBeSi2Rh structure, as listed in Alexandria via LeMat-Bulk.

Results
crystal system = tetragonal
raw formation energy = -3.49 eV/f.u.
symmetry = I-4m2

Unit cell a=5.7371 b=5.7371 c=5.7371 alpha=139.73 beta=139.73 gamma=58.27
Sites, in units of the cell vectors:
Pa1 0.0000 0.0000 0.0000
Be1 0.2500 0.7500 0.5000
Si1 0.3825 0.3825 0.0000
Si2 0.6175 0.6175 0.0000
Rh1 0.7500 0.2500 0.5000

Entry 9:
First-principles (GGA-PBE) data for a geometry-optimized Pa2BeSiRh6 structure, as listed in Alexandria via LeMat-Bulk.

Results
crystal system = cubic
raw formation energy = -5.93 eV/f.u.
symmetry = Fm-3m

Unit cell a=6.1757 b=6.1757 c=6.1757 alpha=60.00 beta=60.00 gamma=60.00
Sites, in units of the cell vectors:
Pa1 0.2500 0.2500 0.2500
Pa2 0.7500 0.7500 0.7500
Be1 0.0000 0.0000 0.0000
Si1 0.5000 0.5000 0.5000
Rh1 0.2426 0.2426 0.7574
Rh2 0.2426 0.7574 0.2426
Rh3 0.2426 0.7574 0.7574
Rh4 0.7574 0.2426 0.2426
Rh5 0.7574 0.2426 0.7574
Rh6 0.7574 0.7574 0.2426

Entry 10:
First-principles (GGA-PBE) data for a geometry-optimized Pa2Be4Si3Rh structure, as listed in Alexandria via LeMat-Bulk.

Results
crystal system = tetragonal
raw formation energy = -4.40 eV/f.u.
symmetry = P-4m2

Unit cell a=3.9139 b=3.9139 c=9.3786 alpha=90.00 beta=90.00 gamma=90.00
Sites, in units of the cell vectors:
Pa1 0.0000 0.5000 0.2498
Pa2 0.5000 0.0000 0.7502
Be1 0.0000 0.0000 0.0000
Be2 0.0000 0.5000 0.6307
Be3 0.5000 0.0000 0.3693
Be4 0.5000 0.5000 0.0000
Si1 0.0000 0.5000 0.8691
Si2 0.5000 0.0000 0.1309
Si3 0.5000 0.5000 0.5000
Rh1 0.0000 0.0000 0.5000

Entry 11:
First-principles (GGA-PBE) data for a geometry-optimized Pa2Be3Si4Rh structure, as listed in Alexandria via LeMat-Bulk.

Results
crystal system = tetragonal
raw formation energy = -4.95 eV/f.u.
symmetry = P-4m2

Unit cell a=3.9927 b=3.9927 c=9.3721 alpha=90.00 beta=90.00 gamma=90.00
Sites, in units of the cell vectors:
Pa1 0.0000 0.5000 0.2444
Pa2 0.5000 0.0000 0.7556
Be1 0.0000 0.5000 0.8783
Be2 0.5000 0.0000 0.1217
Be3 0.5000 0.5000 0.5000
Si1 0.0000 0.0000 0.0000
Si2 0.0000 0.5000 0.6422
Si3 0.5000 0.0000 0.3578
Si4 0.5000 0.5000 0.0000
Rh1 0.0000 0.0000 0.5000

Entry 12:
First-principles (GGA-PBE) data for a geometry-optimized PaBeTcRh structure, as listed in Alexandria via LeMat-Bulk.

Results
crystal system = cubic
energy of formation = -283 meV/atom
symmetry = F-43m

Unit cell a=4.5161 b=4.5161 c=4.5161 alpha=60.00 beta=60.00 gamma=60.00
Sites, in units of the cell vectors:
Pa1 0.0000 0.0000 0.0000
Be1 0.5000 0.5000 0.5000
Tc1 0.2500 0.2500 0.2500
Rh1 0.7500 0.7500 0.7500

Entry 13:
First-principles (GGA-PBE) data for a geometry-optimized Pa4Be6Ru7 structure, as listed in Alexandria via LeMat-Bulk.

Results
crystal system = cubic
energy of formation = -403 meV/atom
symmetry = Im-3m

Unit cell a=6.9313 b=6.9313 c=6.9313 alpha=109.47 beta=109.47 gamma=109.47
Sites, in units of the cell vectors:
Pa1 0.0000 0.0000 0.5000
Pa2 0.0000 0.5000 0.0000
Pa3 0.5000 0.0000 0.0000
Pa4 0.5000 0.5000 0.5000
Be1 0.0000 0.3245 0.3245
Be2 0.0000 0.6755 0.6755
Be3 0.3245 0.0000 0.3245
Be4 0.3245 0.3245 0.0000
Be5 0.6755 0.0000 0.6755
Be6 0.6755 0.6755 0.0000
Ru1 0.0000 0.0000 0.0000
Ru2 0.2500 0.5000 0.7500
Ru3 0.2500 0.7500 0.5000
Ru4 0.5000 0.2500 0.7500
Ru5 0.5000 0.7500 0.2500
Ru6 0.7500 0.2500 0.5000
Ru7 0.7500 0.5000 0.2500

Entry 14:
First-principles (GGA-PBE) data for a geometry-optimized PaBeRu structure, as listed in Alexandria via LeMat-Bulk.

Results
crystal system = trigonal
energy of formation = 99 meV/atom
symmetry = R3m
distance to the lowest polymorph of the same formula = 506 meV/atom

Unit cell a=5.1648 b=5.1648 c=5.1648 alpha=41.77 beta=41.77 gamma=41.77
Sites, in units of the cell vectors:
Pa1 0.0000 0.0000 0.0000
Be1 0.1933 0.1933 0.1933
Ru1 0.7925 0.7925 0.7925

Entry 15:
First-principles (GGA-PBE) data for a geometry-optimized PaBeRu2 structure, as listed in Alexandria via LeMat-Bulk.

Results
crystal system = cubic
energy of formation = -287 meV/atom
symmetry = Fm-3m
distance to the lowest polymorph of the same formula = 153 meV/atom

Unit cell a=4.5004 b=4.5004 c=4.5004 alpha=60.00 beta=60.00 gamma=60.00
Sites, in units of the cell vectors:
Pa1 0.0000 0.0000 0.0000
Be1 0.5000 0.5000 0.5000
Ru1 0.2500 0.2500 0.2500
Ru2 0.7500 0.7500 0.7500

Entry 16:
First-principles (GGA-PBE) data for a geometry-optimized Pa3Be2Ru5 structure, as listed in Alexandria via LeMat-Bulk.

Results
crystal system = tetragonal
energy of formation = -536 meV/atom
symmetry = P4/mbm

Unit cell a=9.7139 b=9.7139 c=3.4628 alpha=90.00 beta=90.00 gamma=90.00
Sites, in units of the cell vectors:
Pa1 0.0000 0.0000 0.0000
Pa2 0.1670 0.3330 0.0000
Pa3 0.3330 0.8330 0.0000
Pa4 0.5000 0.5000 0.0000
Pa5 0.6670 0.1670 0.0000
Pa6 0.8330 0.6670 0.0000
Be1 0.1252 0.6252 0.0000
Be2 0.3748 0.1252 0.0000
Be3 0.6252 0.8748 0.0000
Be4 0.8748 0.3748 0.0000
Ru1 0.0000 0.5000 0.5000
Ru2 0.0779 0.7875 0.5000
Ru3 0.2125 0.0779 0.5000
Ru4 0.2875 0.5779 0.5000
Ru5 0.4221 0.2875 0.5000
Ru6 0.5000 0.0000 0.5000
Ru7 0.5779 0.7125 0.5000
Ru8 0.7125 0.4221 0.5000
Ru9 0.7875 0.9221 0.5000
Ru10 0.9221 0.2125 0.5000

Entry 17:
First-principles (GGA-PBE) data for a geometry-optimized PaBeRu2 structure, as listed in Alexandria via LeMat-Bulk.

Results
crystal system = tetragonal
energy of formation = -170 meV/atom
symmetry = P4/mmm
distance to the lowest polymorph of the same formula = 270 meV/atom

Unit cell a=3.0637 b=3.0637 c=6.5430 alpha=90.00 beta=90.00 gamma=90.00
Sites, in units of the cell vectors:
Pa1 0.0000 0.0000 0.0000
Be1 0.0000 0.0000 0.5000
Ru1 0.5000 0.5000 0.3009
Ru2 0.5000 0.5000 0.6991

Entry 18:
First-principles (GGA-PBE) data for a geometry-optimized Pa2BeRu structure, as listed in Alexandria via LeMat-Bulk.

Results
crystal system = trigonal
energy of formation = 352 meV/atom
symmetry = R-3m

Unit cell a=9.6680 b=9.6680 c=9.6680 alpha=18.36 beta=18.36 gamma=18.36
Sites, in units of the cell vectors:
Pa1 0.0883 0.0883 0.0883
Pa2 0.9117 0.9117 0.9117
Be1 0.5000 0.5000 0.5000
Ru1 0.0000 0.0000 0.0000

Entry 19:
First-principles (GGA-PBE) data for a geometry-optimized PaBeRu2 structure, as listed in Alexandria via LeMat-Bulk.

Results
crystal system = tetragonal
energy of formation = -440 meV/atom
symmetry = P4/mmm
distance to the lowest polymorph of the same formula = 0 meV/atom

Unit cell a=4.1594 b=4.1594 c=3.6195 alpha=90.00 beta=90.00 gamma=90.00
Sites, in units of the cell vectors:
Pa1 0.0000 0.0000 0.0000
Be1 0.5000 0.5000 0.0000
Ru1 0.0000 0.5000 0.5000
Ru2 0.5000 0.0000 0.5000

Entry 20:
First-principles (GGA-PBE) data for a geometry-optimized PaBe17Ru structure, as listed in Alexandria via LeMat-Bulk.

Results
crystal system = trigonal
energy of formation = -43 meV/atom
symmetry = R3m

Unit cell a=5.6850 b=5.6850 c=5.6850 alpha=83.28 beta=83.28 gamma=83.28
Sites, in units of the cell vectors:
Pa1 0.0000 0.0000 0.0000
Be1 0.0475 0.3520 0.6294
Be2 0.0475 0.6294 0.3520
Be3 0.2101 0.6820 0.6820
Be4 0.2496 0.2496 0.2496
Be5 0.3359 0.3359 0.8486
Be6 0.3359 0.8486 0.3359
Be7 0.3520 0.0475 0.6294
Be8 0.3520 0.6294 0.0475
Be9 0.4433 0.4433 0.4433
Be10 0.5053 0.9931 0.9931
Be11 0.6294 0.0475 0.3520
Be12 0.6294 0.3520 0.0475
Be13 0.6820 0.2101 0.6820
Be14 0.6820 0.6820 0.2101
Be15 0.8486 0.3359 0.3359
Be16 0.9931 0.5053 0.9931
Be17 0.9931 0.9931 0.5053
Ru1 0.6669 0.6669 0.6669

Entry 21:
First-principles (GGA-PBE) data for a geometry-optimized PaBe2Ru structure, as listed in Alexandria via LeMat-Bulk.

Results
crystal system = cubic
energy of formation = 10 meV/atom
symmetry = Fm-3m

Unit cell a=4.3472 b=4.3472 c=4.3472 alpha=60.00 beta=60.00 gamma=60.00
Sites, in units of the cell vectors:
Pa1 0.0000 0.0000 0.0000
Be1 0.2500 0.2500 0.2500
Be2 0.7500 0.7500 0.7500
Ru1 0.5000 0.5000 0.5000

Entry 22:
First-principles (GGA-PBE) data for a geometry-optimized PaBeRu3 structure, as listed in Alexandria via LeMat-Bulk.

Results
crystal system = cubic
energy of formation = -349 meV/atom
symmetry = Pm-3m

Unit cell a=4.2350 b=4.2350 c=4.2350 alpha=90.00 beta=90.00 gamma=90.00
Sites, in units of the cell vectors:
Pa1 0.0000 0.0000 0.0000
Be1 0.5000 0.5000 0.5000
Ru1 0.0000 0.5000 0.5000
Ru2 0.5000 0.0000 0.5000
Ru3 0.5000 0.5000 0.0000

Entry 23:
First-principles (GGA-PBE) data for a geometry-optimized PaBeRu structure, as listed in Alexandria via LeMat-Bulk.

Results
crystal system = orthorhombic
energy of formation = -407 meV/atom
symmetry = Pnma
distance to the lowest polymorph of the same formula = 0 meV/atom

Unit cell a=7.0066 b=4.2892 c=6.4740 alpha=90.00 beta=90.00 gamma=90.00
Sites, in units of the cell vectors:
Pa1 0.0228 0.2500 0.1716
Pa2 0.4772 0.7500 0.6716
Pa3 0.5228 0.2500 0.3284
Pa4 0.9772 0.7500 0.8284
Be1 0.1916 0.2500 0.6085
Be2 0.3084 0.7500 0.1085
Be3 0.6916 0.2500 0.8915
Be4 0.8084 0.7500 0.3915
Ru1 0.1450 0.7500 0.4443
Ru2 0.3550 0.2500 0.9443
Ru3 0.6450 0.7500 0.0557
Ru4 0.8550 0.2500 0.5557

Entry 24:
First-principles (GGA-PBE) data for a geometry-optimized PaBeRu structure, as listed in Alexandria via LeMat-Bulk.

Results
crystal system = hexagonal
energy of formation = -258 meV/atom
symmetry = P-6m2
distance to the lowest polymorph of the same formula = 149 meV/atom

Unit cell a=4.0428 b=4.0428 c=3.6406 alpha=90.00 beta=90.00 gamma=120.00
Sites, in units of the cell vectors:
Pa1 0.0000 0.0000 0.0000
Be1 0.3333 0.6667 0.5000
Ru1 0.6667 0.3333 0.5000